The following is a DFT calculation (meta-GGA SCAN) of a PBEsol-optimized structure of Li2BePt.

Geometry as POSCAR:
```
Li2BePt
1.0
2.786 0.000 0.000
0.000 3.882 0.000
-1.393 -1.941 4.295
Be Pt Li
1 1 2
Direct
0.000 0.500 0.000 Be
0.500 0.000 0.000 Pt
0.739 0.739 0.478 Li
0.261 0.261 0.522 Li
```

Values from the calculation:
energy of formation from the pure elements	-552	meV per atom
crystal system	orthorhombic

---

The following is a DFT calculation (meta-GGA SCAN) of a PBEsol-optimized structure of Np2Si4Tc3.

Geometry as POSCAR:
```
Np2Si4Tc3
1.0
-3.733 1.367 -3.892
-2.649 -5.304 3.024
-3.665 4.794 5.198
Np Si Tc
4 8 6
Direct
0.574 0.745 0.053 Np
0.926 0.255 0.553 Np
0.426 0.255 0.947 Np
0.074 0.745 0.447 Np
0.616 0.870 0.402 Si
0.884 0.130 0.902 Si
0.384 0.130 0.598 Si
0.116 0.870 0.098 Si
0.726 0.425 0.249 Si
0.774 0.575 0.749 Si
0.274 0.575 0.751 Si
0.226 0.425 0.251 Si
0.617 0.889 0.706 Tc
0.883 0.111 0.206 Tc
0.383 0.111 0.294 Tc
0.117 0.889 0.794 Tc
0.500 0.500 0.500 Tc
0.000 0.500 0.000 Tc
```

Values from the calculation:
crystal system	monoclinic
formation energy without anion corrections	-0.37	eV/atom

---

The following is a DFT calculation (meta-GGA SCAN) of a PBEsol-optimized structure of LuMoBrO4.

Geometry as POSCAR:
```
LuMoBrO4
1.0
-5.346 -4.207 -0.441
4.262 -4.623 3.286
-1.949 7.049 7.667
Lu Mo Br O
4 4 4 16
Direct
0.666 0.094 0.730 Lu
0.334 0.906 0.270 Lu
0.378 0.668 0.766 Lu
0.622 0.332 0.234 Lu
0.725 0.817 0.134 Mo
0.275 0.183 0.866 Mo
0.768 0.583 0.626 Mo
0.232 0.417 0.374 Mo
0.264 0.016 0.520 Br
0.736 0.984 0.480 Br
0.192 0.722 0.987 Br
0.808 0.278 0.013 Br
0.652 0.736 0.956 O
0.348 0.264 0.044 O
0.996 0.894 0.203 O
0.004 0.106 0.797 O
0.657 0.623 0.200 O
0.343 0.377 0.800 O
0.409 0.989 0.811 O
0.591 0.011 0.189 O
0.037 0.654 0.670 O
0.963 0.346 0.330 O
0.728 0.386 0.696 O
0.272 0.614 0.304 O
0.664 0.499 0.445 O
0.336 0.501 0.555 O
0.655 0.778 0.706 O
0.345 0.222 0.294 O
```

Values from the calculation:
crystal system	triclinic
formation energy without anion corrections	-2.64	eV/atom

---

The following is a DFT calculation (meta-GGA SCAN) of a PBEsol-optimized structure of NaGaBiSb2.

Geometry as POSCAR:
```
NaGaBiSb2
1.0
-3.059 -4.375 0.118
4.375 -3.061 -0.062
0.120 0.062 5.411
Sb Bi Ga Na
2 1 1 1
Direct
0.000 0.500 0.000 Sb
0.500 0.000 0.000 Sb
0.000 0.000 0.500 Bi
0.500 0.500 0.500 Ga
0.000 0.000 0.000 Na
```

Values from the calculation:
crystal system	tetragonal
formation energy without anion corrections	0.77	eV/atom

---

The following is a DFT calculation (meta-GGA SCAN) of a PBEsol-optimized structure of TlSb2Cl.

Geometry as POSCAR:
```
TlSb2Cl
1.0
3.151 0.000 0.000
0.000 5.911 0.000
0.000 -2.956 5.711
Sb Tl Cl
2 1 1
Direct
0.000 0.000 0.500 Sb
0.000 0.500 0.500 Sb
0.500 0.000 0.000 Tl
0.500 0.500 0.000 Cl
```

Values from the calculation:
crystal system	orthorhombic
formation energy without anion corrections	-0.01	eV/atom
relative energy among the computed polymorphs	0	meV per atom

---

The following is a DFT calculation (meta-GGA SCAN) of a PBEsol-optimized structure of Cu2BiMoI.

Geometry as POSCAR:
```
Cu2BiMoI
1.0
-1.544 -0.454 -4.540
0.153 -4.796 0.428
-5.021 -0.008 1.708
I Mo Bi Cu
1 1 1 2
Direct
0.500 0.500 0.500 I
0.000 0.000 0.000 Mo
0.000 0.000 0.500 Bi
0.000 0.500 0.000 Cu
0.500 0.000 0.000 Cu
```

Values from the calculation:
crystal system	tetragonal
formation energy without anion corrections	1.24	eV/atom

---

The following is a DFT calculation (meta-GGA SCAN) of a PBEsol-optimized structure of CdSbRu2.

Geometry as POSCAR:
```
CdSbRu2
1.0
-3.526 -1.706 0.158
1.552 -3.028 1.946
0.199 4.338 2.645
Cd Ru Sb
1 2 1
Direct
0.250 0.750 0.500 Cd
0.000 0.000 0.000 Ru
0.750 0.250 0.500 Ru
0.500 0.500 0.000 Sb
```

Values from the calculation:
crystal system	tetragonal
formation energy without anion corrections	0.43	eV/atom

---

The following is a DFT calculation (meta-GGA SCAN) of a PBEsol-optimized structure of Cd2In2Pb.

Geometry as POSCAR:
```
Cd2In2Pb
1.0
-3.301 -2.312 1.841
2.074 -3.778 -1.028
3.712 3.186 5.327
Pb In Cd
1 2 2
Direct
0.000 0.000 0.000 Pb
0.394 0.394 0.788 In
0.606 0.606 0.212 In
0.250 0.750 0.500 Cd
0.750 0.250 0.500 Cd
```

Values from the calculation:
energy of formation from the pure elements	78	meV per atom
crystal system	tetragonal
relative energy among the computed polymorphs	0	meV per atom

---

The following is a DFT calculation (meta-GGA SCAN) of a PBEsol-optimized structure of Li2PRu.

Geometry as POSCAR:
```
Li2PRu
1.0
-2.632 1.320 0.062
-0.997 -2.130 2.991
3.380 3.400 1.128
Li P Ru
2 1 1
Direct
0.760 0.760 0.520 Li
0.240 0.240 0.480 Li
0.500 0.000 0.000 P
0.000 0.500 0.000 Ru
```

Values from the calculation:
energy of formation from the pure elements	-334	meV per atom
crystal system	orthorhombic

---

The following is a DFT calculation (meta-GGA SCAN) of a PBEsol-optimized structure of MgTl3Ga.

Geometry as POSCAR:
```
MgTl3Ga
1.0
-4.299 -2.535 2.075
2.691 -4.685 -0.150
1.869 0.913 4.988
Tl Mg Ga
3 1 1
Direct
0.000 0.500 0.000 Tl
0.000 0.000 0.500 Tl
0.500 0.000 0.000 Tl
0.000 0.000 0.000 Mg
0.500 0.500 0.500 Ga
```

Values from the calculation:
energy of formation from the pure elements	365	meV per atom
crystal system	cubic

---

The following is a DFT calculation (meta-GGA SCAN) of a PBEsol-optimized structure of SrCrSi4O10.

Geometry as POSCAR:
```
SrCrSi4O10
1.0
-5.788 2.126 -4.180
-3.478 -6.399 1.562
-6.610 6.654 12.537
Sr Cr Si O
4 4 16 40
Direct
0.500 0.500 0.500 Sr
0.000 0.000 0.500 Sr
0.000 0.000 0.000 Sr
0.500 0.500 0.000 Sr
0.500 0.000 0.585 Cr
0.000 0.500 0.915 Cr
0.000 0.500 0.415 Cr
0.500 0.000 0.085 Cr
0.178 0.258 0.650 Si
0.822 0.742 0.650 Si
0.258 0.178 0.850 Si
0.758 0.322 0.650 Si
0.242 0.678 0.650 Si
0.322 0.758 0.850 Si
0.678 0.242 0.850 Si
0.742 0.822 0.850 Si
0.322 0.242 0.350 Si
0.678 0.758 0.350 Si
0.242 0.322 0.150 Si
0.742 0.178 0.350 Si
0.258 0.822 0.350 Si
0.178 0.742 0.150 Si
0.822 0.258 0.150 Si
0.758 0.678 0.150 Si
0.262 0.114 0.585 O
0.738 0.886 0.585 O
0.114 0.262 0.915 O
0.614 0.238 0.585 O
0.386 0.762 0.585 O
0.238 0.614 0.915 O
0.762 0.386 0.915 O
0.886 0.738 0.915 O
0.238 0.386 0.415 O
0.762 0.614 0.415 O
0.386 0.238 0.085 O
0.886 0.262 0.415 O
0.114 0.738 0.415 O
0.262 0.886 0.085 O
0.738 0.114 0.085 O
0.249 0.039 0.370 O
0.614 0.762 0.085 O
0.749 0.539 0.630 O
0.461 0.251 0.870 O
0.961 0.249 0.630 O
0.039 0.751 0.630 O
0.249 0.961 0.870 O
0.751 0.039 0.870 O
0.539 0.749 0.870 O
0.714 0.714 0.250 O
0.786 0.214 0.250 O
0.214 0.786 0.250 O
0.286 0.286 0.250 O
0.786 0.786 0.750 O
0.714 0.286 0.750 O
0.286 0.714 0.750 O
0.214 0.214 0.750 O
0.961 0.751 0.130 O
0.749 0.461 0.130 O
0.251 0.539 0.130 O
0.461 0.749 0.370 O
0.539 0.251 0.370 O
0.039 0.249 0.130 O
0.751 0.961 0.370 O
0.251 0.461 0.630 O
```

Values from the calculation:
crystal system	tetragonal
formation energy without anion corrections	-3.00	eV/atom

---

The following is a DFT calculation (meta-GGA SCAN) of a PBEsol-optimized structure of Cu2Mo.

Geometry as POSCAR:
```
Cu2Mo
1.0
2.621 0.000 0.000
-1.310 2.270 0.000
0.000 0.000 6.529
Cu Mo
2 1
Direct
0.667 0.333 0.344 Cu
0.333 0.667 0.656 Cu
0.000 0.000 0.000 Mo
```

Values from the calculation:
energy of formation from the pure elements	300	meV per atom
crystal system	trigonal

---

E_tot (eV/atom)
-20.383 -40.293 -21.875 -33.959 -38.729 -34.882 -33.902 -40.598 -12.835 -47.314 -11.941 -21.461
Total magnetic moment (μB per atom)
0.00 0.71 0.00 0.00 0.00 0.00 0.00 0.00 0.00 0.00 0.25 0.00